Density functional theory data (PBE) for a relaxed La5Tb2Pr5 crystal.

abc: 15.764 5.226 11.705
angles: 90.00 116.74 90.00
Space group C2/m (No. 12)
Symmetry-distinct sites (fractional):
La 0.000 0.000 0.000 [2 per cell]
La 0.082 0.000 0.749 [4 per cell]
La 0.166 0.000 0.500 [4 per cell]
Tb 0.084 0.500 0.250 [4 per cell]
Pr 0.000 0.500 0.500 [2 per cell]
Pr 0.166 0.500 0.000 [4 per cell]
Pr 0.248 0.000 0.249 [4 per cell]

***

Density functional theory data (PBE) for a relaxed Pr2Er2Sb2C crystal.

abc: 4.761 4.761 16.453
angles: 90.00 90.00 90.00
Space group I4/mmm (No. 139)
Symmetry-distinct sites (fractional):
Pr 0.000 0.000 0.164 [4 per cell]
Er 0.000 0.500 0.000 [4 per cell]
Sb 0.000 0.000 0.365 [4 per cell]
C 0.000 0.000 0.000 [2 per cell]

Output
- formation energy without anion corrections (eV per atom) = -0.86

***

Density functional theory data (PBE) for a relaxed SrPaPd2O6 crystal.

abc: 5.8538 5.8538 16.4281
angles: 90.00 90.00 120.00
Space group R-3 (No. 148, hexagonal axes)
Symmetry-distinct sites (fractional):
Sr 0.0000 0.0000 0.0000 [3 per cell]
Pa 0.0000 0.0000 0.5000 [3 per cell]
Pd 0.0000 0.0000 0.2333 [6 per cell]
O 0.0072 0.6929 0.4270 [18 per cell]

Output
- formation energy without anion corrections (eV per atom) = -1.71

***

Density functional theory data (PBE) for a relaxed Tb2Pr6Sm3Tl crystal.

abc: 6.286 10.941 11.960
angles: 90.00 100.38 90.00
Space group C2/m (No. 12)
Symmetry-distinct sites (fractional):
Tb 0.000 0.166 0.000 [4 per cell]
Pr 0.244 0.336 0.246 [8 per cell]
Pr 0.245 0.500 0.752 [4 per cell]
Sm 0.000 0.000 0.500 [2 per cell]
Sm 0.000 0.331 0.500 [4 per cell]
Tl 0.000 0.500 0.000 [2 per cell]

***

Density functional theory data (PBE) for a relaxed Np2TeAs crystal.

abc: 4.2392 4.2392 14.2551
angles: 90.00 90.00 120.00
Space group P6_3/mmc (No. 194)
Symmetry-distinct sites (fractional):
Np 0.3333 0.6667 0.1100 [4 per cell]
Te 0.3333 0.6667 0.7500 [2 per cell]
As 0.0000 0.0000 0.0000 [2 per cell]

Output
- formation energy without anion corrections (eV per atom) = -0.62
- energy above the lowest structure with this stoichiometry (meV/atom) = 25

***

Density functional theory data (PBE) for a relaxed ZrVIrCl2 crystal.

abc: 4.246 4.246 6.103
angles: 90.00 90.00 90.00
Space group P4/mmm (No. 123)
Symmetry-distinct sites (fractional):
Zr 0.000 0.000 0.000 [1 per cell]
V 0.000 0.000 0.500 [1 per cell]
Ir 0.500 0.500 0.000 [1 per cell]
Cl 0.000 0.500 0.500 [2 per cell]

Output
- formation energy without anion corrections (eV per atom) = 0.44

***

Density functional theory data (PBE) for a relaxed Rb8SnS6 crystal.

abc: 9.201 8.073 15.423
angles: 90.00 90.00 90.00
Space group Pmn2_1 (No. 31)
Symmetry-distinct sites (fractional):
Rb 0.000 0.153 0.100 [2 per cell]
Rb 0.000 0.296 0.723 [2 per cell]
Rb 0.194 0.739 0.446 [4 per cell]
Rb 0.210 0.866 0.754 [4 per cell]
Rb 0.240 0.219 0.500 [4 per cell]
Sn 0.000 0.563 0.223 [2 per cell]
S 0.000 0.032 0.905 [2 per cell]
S 0.000 0.407 0.359 [2 per cell]
S 0.000 0.857 0.257 [2 per cell]
S 0.000 0.976 0.586 [2 per cell]
S 0.215 0.480 0.142 [4 per cell]

Output
- formation energy without anion corrections (eV per atom) = -0.99

***

Density functional theory data (PBE) for a relaxed Pm4Pr2HoTh crystal.

abc: 6.088 6.095 7.341
angles: 90.00 90.10 90.00
Space group P2/m (No. 10)
Symmetry-distinct sites (fractional):
Pm 0.000 0.000 0.246 [2 per cell]
Pm 0.500 0.500 0.247 [2 per cell]
Pr 0.000 0.500 0.500 [1 per cell]
Pr 0.500 0.000 0.000 [1 per cell]
Ho 0.500 0.000 0.500 [1 per cell]
Th 0.000 0.500 0.000 [1 per cell]

***

Density functional theory data (PBE) for a relaxed NbSBrN2 crystal.

abc: 3.985 3.985 5.542
angles: 90.00 90.00 90.00
Space group P4/mmm (No. 123)
Symmetry-distinct sites (fractional):
Nb 0.000 0.000 0.000 [1 per cell]
S 0.000 0.000 0.500 [1 per cell]
Br 0.500 0.500 0.500 [1 per cell]
N 0.000 0.500 0.000 [2 per cell]

Output
- formation energy without anion corrections (eV per atom) = 0.55
- energy above the lowest structure with this stoichiometry (meV/atom) = 0

***

Density functional theory data (PBE) for a relaxed RbAg3Ge crystal.

abc: 14.834 9.838 6.701
angles: 90.00 103.30 90.00
Space group C2/c (No. 15)
Symmetry-distinct sites (fractional):
Rb 0.000 0.009 0.250 [4 per cell]
Rb 0.000 0.350 0.250 [4 per cell]
Ag 0.186 0.487 0.592 [8 per cell]
Ag 0.190 0.148 0.079 [8 per cell]
Ag 0.197 0.166 0.612 [8 per cell]
Ge 0.094 0.322 0.809 [8 per cell]

Output
- energy above the lowest structure with this stoichiometry (meV/atom) = 27

***

Density functional theory data (PBE) for a relaxed Mg2SCl crystal.

abc: 5.949 5.949 11.804
angles: 90.00 90.00 90.00
Space group I-42d (No. 122)
Symmetry-distinct sites (fractional):
Mg 0.222 0.250 0.125 [8 per cell]
S 0.000 0.000 0.000 [4 per cell]
Cl 0.000 0.000 0.500 [4 per cell]

Output
- formation energy without anion corrections (eV per atom) = -0.99
- energy above the lowest structure with this stoichiometry (meV/atom) = 0

***

Density functional theory data (PBE) for a relaxed EuYMgCd crystal.

abc: 7.718 7.718 7.718
angles: 90.00 90.00 90.00
Space group F-43m (No. 216)
Symmetry-distinct sites (fractional):
Eu 0.000 0.000 0.000 [4 per cell]
Y 0.000 0.000 0.500 [4 per cell]
Mg 0.250 0.250 0.750 [4 per cell]
Cd 0.250 0.250 0.250 [4 per cell]

***

Density functional theory data (PBE) for a relaxed Ac2BSe5 crystal.

abc: 7.012 7.012 8.578
angles: 90.00 90.00 90.00
Space group I4mm (No. 107)
Symmetry-distinct sites (fractional):
Ac 0.000 0.500 0.000 [4 per cell]
B 0.000 0.000 0.307 [2 per cell]
Se 0.000 0.000 0.544 [2 per cell]
Se 0.222 0.222 0.236 [8 per cell]

Output
- formation energy without anion corrections (eV per atom) = -1.03

***

Density functional theory data (PBE) for a relaxed Ba4HoTl5 crystal.

abc: 4.121 4.121 21.599
angles: 90.00 90.00 90.00
Space group P4/mmm (No. 123)
Symmetry-distinct sites (fractional):
Ba 0.000 0.000 0.103 [2 per cell]
Ba 0.000 0.000 0.314 [2 per cell]
Ho 0.000 0.000 0.500 [1 per cell]
Tl 0.500 0.500 0.000 [1 per cell]
Tl 0.500 0.500 0.206 [2 per cell]
Tl 0.500 0.500 0.422 [2 per cell]

***

Density functional theory data (PBE) for a relaxed Nd8Dy2Th crystal.

abc: 10.440 13.682 5.463
angles: 90.00 90.00 90.00
Space group Cmmm (No. 65)
Symmetry-distinct sites (fractional):
Nd 0.000 0.249 0.000 [4 per cell]
Nd 0.166 0.369 0.500 [8 per cell]
Nd 0.168 0.000 0.000 [4 per cell]
Dy 0.000 0.120 0.500 [4 per cell]
Th 0.000 0.500 0.000 [2 per cell]

***

Density functional theory data (PBE) for a relaxed TcAg2Ir crystal.

abc: 4.756 2.769 5.095
angles: 90.00 108.34 90.00
Space group P2/m (No. 10)
Symmetry-distinct sites (fractional):
Tc 0.000 0.000 0.000 [1 per cell]
Ag 0.000 0.500 0.500 [1 per cell]
Ag 0.500 0.000 0.500 [1 per cell]
Ir 0.500 0.500 0.000 [1 per cell]

Output
- energy above the lowest structure with this stoichiometry (meV/atom) = 279

***

Density functional theory data (PBE) for a relaxed CdAgSnPt crystal.

abc: 6.745 6.745 6.745
angles: 90.00 90.00 90.00
Space group F-43m (No. 216)
Symmetry-distinct sites (fractional):
Cd 0.000 0.000 0.000 [4 per cell]
Ag 0.250 0.250 0.750 [4 per cell]
Sn 0.000 0.000 0.500 [4 per cell]
Pt 0.250 0.250 0.250 [4 per cell]

***

Density functional theory data (PBE) for a relaxed Ti2AlMo3 crystal.

abc: 4.416 7.107 7.161
angles: 65.48 72.19 72.05
Space group P-1 (No. 2)
Symmetry-distinct sites (fractional):
Ti 0.124 0.372 0.382 [2 per cell]
Ti 0.374 0.123 0.131 [2 per cell]
Al 0.286 0.551 0.875 [2 per cell]
Mo 0.037 0.793 0.130 [2 per cell]
Mo 0.209 0.958 0.621 [2 per cell]
Mo 0.463 0.704 0.371 [2 per cell]

***

Density functional theory data (PBE) for a relaxed AgMoP2 crystal.

abc: 3.056 3.466 12.685
angles: 90.00 90.00 90.00
Space group Imm2 (No. 44)
Symmetry-distinct sites (fractional):
Ag 0.000 0.000 0.000 [2 per cell]
Mo 0.000 0.500 0.730 [2 per cell]
P 0.000 0.000 0.379 [2 per cell]
P 0.000 0.500 0.161 [2 per cell]

Output
- energy above the lowest structure with this stoichiometry (meV/atom) = 48

***

Density functional theory data (PBE) for a relaxed Rb4SiMo2 crystal.

abc: 6.931 6.931 17.495
angles: 90.00 90.00 90.00
Space group I4/mmm (No. 139)
Symmetry-distinct sites (fractional):
Rb 0.000 0.000 0.195 [4 per cell]
Rb 0.000 0.500 0.000 [4 per cell]
Si 0.000 0.000 0.000 [2 per cell]
Mo 0.000 0.000 0.410 [4 per cell]

Output
- formation energy without anion corrections (eV per atom) = 1.64

***

Density functional theory data (PBE) for a relaxed LaCeGa2Pt2 crystal.

abc: 4.5365 4.5365 7.2984
angles: 90.00 90.00 120.00
Space group P-3m1 (No. 164)
Symmetry-distinct sites (fractional):
La 0.0000 0.0000 0.0000 [1 per cell]
Ce 0.0000 0.0000 0.5000 [1 per cell]
Ga 0.3333 0.6667 0.7323 [2 per cell]
Pt 0.3333 0.6667 0.2693 [2 per cell]

***

Density functional theory data (PBE) for a relaxed SbW3 crystal.

abc: 5.609 7.806 3.166
angles: 90.00 90.00 90.00
Space group Cmmm (No. 65)
Symmetry-distinct sites (fractional):
Sb 0.000 0.000 0.000 [2 per cell]
W 0.000 0.500 0.000 [2 per cell]
W 0.250 0.250 0.500 [4 per cell]

Output
- formation energy without anion corrections (eV per atom) = 0.60
- energy above the lowest structure with this stoichiometry (meV/atom) = 120

***

Density functional theory data (PBE) for a relaxed KZrMn4 crystal.

abc: 7.139 7.139 7.139
angles: 90.00 90.00 90.00
Space group F-43m (No. 216)
Symmetry-distinct sites (fractional):
K 0.000 0.000 0.000 [4 per cell]
Zr 0.250 0.250 0.250 [4 per cell]
Mn 0.124 0.124 0.624 [16 per cell]

***

Density functional theory data (PBE) for a relaxed KP2RuRh crystal.

abc: 3.982 3.982 12.940
angles: 90.00 90.00 90.00
Space group I-4m2 (No. 119)
Symmetry-distinct sites (fractional):
K 0.000 0.000 0.000 [2 per cell]
P 0.000 0.000 0.344 [4 per cell]
Ru 0.000 0.500 0.750 [2 per cell]
Rh 0.000 0.500 0.250 [2 per cell]

***

Number 1: total energy -4.7981 eV per atom. Number 2: total energy -6.0264 eV per atom. Number 3: total energy -6.8442 eV per atom. Number 4: total energy -4.5495 eV per atom. Number 5: total energy -9.0401 eV per atom. Number 6: total energy -5.6028 eV per atom. Number 7: total energy -3.4233 eV per atom. Number 8: total energy -4.9370 eV per atom. Number 9: total energy -5.9566 eV per atom. Number 10: total energy -2.7490 eV per atom. Number 11: total energy -3.2774 eV per atom. Number 12: total energy -4.9984 eV per atom. Number 13: total energy -5.0702 eV per atom. Number 14: total energy -2.7773 eV per atom. Number 15: total energy -4.8167 eV per atom. Number 16: total energy -5.7856 eV per atom. Number 17: total energy -3.6179 eV per atom. Number 18: total energy -8.8148 eV per atom. Number 19: total energy -6.1409 eV per atom. Number 20: total energy -2.7850 eV per atom. Number 21: total energy -5.8412 eV per atom. Number 22: total energy -10.1465 eV per atom. Number 23: total energy -6.8845 eV per atom. Number 24: total energy -6.4463 eV per atom.